Below is an optimized crystal structure of CeHoAsO2, with properties calculated at the PBE-GGA level.

Unit cell a=6.6871 b=6.6871 c=6.6871 alpha=146.68 beta=146.68 gamma=47.84
Positions (direct):
Ce1 0.0000 0.0000 0.0000
Ho1 0.3032 0.3032 0.0000
As1 0.6469 0.6469 0.0000
O1 0.3983 0.8983 0.5000
O2 0.8983 0.3983 0.5000

**Total DFT energy (no corrections)**: -7.746 eV per atom
**Volume**: 90 Å³/cell